18
Lattice="-1.1479 -1.6172 5.2540 -1.7412 -5.3637 -0.1206 5.5462 -4.2958 2.3397" Properties=species:S:1:pos:R:3 comment="Ni3OF5 | Alexandria | PBE with a Hubbard U | optimized geometry" rho_g_cm3=4.6 space_group=P-1 vol_a3_per_cell=205.1 final_energy_ev_per_cell=-77.0 pbc="T T T"
Ni -1.4445 -3.4904 2.5667
Ni -1.4496 -6.5323 4.6361
Ni 4.1067 -4.7443 2.8370
Ni 1.3285 -5.6383 3.7366
Ni 1.3729 -2.5364 1.6983
Ni 1.2842 -8.7403 5.7748
O -0.1840 -6.7862 3.1601
O 2.8411 -4.4905 4.3130
F 2.1569 -7.2400 4.7018
F 3.2429 -9.2517 6.0173
F -1.5940 -4.6544 0.9356
F 0.5002 -4.0367 2.7713
F -0.6493 -8.1078 5.6430
F 3.3064 -3.1688 1.8301
F 2.6094 -5.9567 2.1603
F -0.5858 -2.0250 1.4558
F 0.0476 -5.3199 5.3128
F 4.2511 -6.6222 6.5375